A relaxed structure of RbNaRu2. Source: Alexandria via LeMat-Bulk, functional PBE.

a = 5.0119 Å, b = 5.0119 Å, c = 5.0119 Å
α = 60.00°, β = 60.00°, γ = 60.00°
Fractional positions:
Ru 0.7500 0.7500 0.7500
Ru 0.2500 0.2500 0.2500
Rb 0.5000 0.5000 0.5000
Na 0.0000 0.0000 0.0000

Properties
As for the space-group type: Fm-3m. The value obtained for the calculated formation energy is 7.5 eV per formula unit. Its energy above the lowest structure with this stoichiometry is 1.067 eV per formula unit.

=====

A relaxed structure of MgSc2Os. Source: Alexandria via LeMat-Bulk, functional PBE.

a = 3.2549 Å, b = 3.2549 Å, c = 7.6490 Å
α = 90.00°, β = 90.00°, γ = 90.00°
Fractional positions:
Mg 0.0000 0.0000 0.5500
Sc 0.0000 0.0000 0.9366
Sc 0.5000 0.5000 0.2604
Os 0.5000 0.5000 0.7530

Properties
As for the space-group type: P4mm. The value obtained for the calculated formation energy is 0.0 eV per formula unit.

=====

A relaxed structure of TaV3Os. Source: Alexandria via LeMat-Bulk, functional PBE.

a = 4.5457 Å, b = 4.5457 Å, c = 4.5457 Å
α = 90.00°, β = 90.00°, γ = 90.00°
Fractional positions:
Os 0.0000 0.0000 0.0000
Ta 0.5000 0.5000 0.5000
V 0.0000 0.5000 0.0000
V 0.5000 0.0000 0.0000
V 0.0000 0.0000 0.5000

Properties
As for the space-group type: Pm-3m. The value obtained for the calculated formation energy is 5.9 eV per formula unit. Its energy above the lowest structure with this stoichiometry is 6.887 eV per formula unit.

=====

A relaxed structure of RbInSi. Source: Alexandria via LeMat-Bulk, functional PBE.

a = 6.4619 Å, b = 6.4619 Å, c = 9.7874 Å
α = 90.00°, β = 90.00°, γ = 120.00°
Fractional positions:
Rb 0.6667 0.3333 0.7500
Rb 0.3333 0.6667 0.2500
Si 0.0000 0.0000 0.5000
Si 0.0000 0.0000 0.0000
In 0.0000 0.0000 0.2500
In 0.0000 0.0000 0.7500

Properties
As for the space-group type: P6_3/mmc. The uncorrected formation energy is 1.777 eV per formula unit.

=====

A relaxed structure of Tm2Al3Ni. Source: Alexandria via LeMat-Bulk, functional PBE.

a = 5.4624 Å, b = 5.4624 Å, c = 5.3144 Å
α = 89.95°, β = 120.90°, γ = 120.08°
Fractional positions:
Ni 0.0000 0.0000 0.0000
Al 0.5000 0.5000 0.5000
Al 0.5000 0.0000 0.5000
Al 0.0000 0.0000 0.5000
Tm 0.7503 0.3753 0.1256
Tm 0.2497 0.6247 0.8744

Properties
As for the space-group type: R-3m. The value obtained for the calculated formation energy is -3.2 eV per formula unit.

=====

A relaxed structure of ScNbCoRe. Source: Alexandria via LeMat-Bulk, functional PBE.

a = 4.4716 Å, b = 4.4716 Å, c = 4.4716 Å
α = 60.00°, β = 60.00°, γ = 60.00°
Fractional positions:
Nb 0.0000 0.0000 0.0000
Co 0.2500 0.2500 0.2500
Re 0.7500 0.7500 0.7500
Sc 0.5000 0.5000 0.5000

Properties
As for the space-group type: F-43m. The value obtained for the calculated formation energy is -0.8 eV per formula unit.

=====

A relaxed structure of Rb2SbWN. Source: Alexandria via LeMat-Bulk, functional PBE.

a = 6.4082 Å, b = 3.8867 Å, c = 6.4082 Å
α = 90.00°, β = 90.00°, γ = 90.00°
Fractional positions:
N 0.0000 0.0000 0.0000
Sb 0.5000 0.5000 0.5000
W 0.0000 0.5000 0.0000
Rb 0.0000 0.0000 0.5000
Rb 0.5000 0.0000 0.0000

Properties
As for the space-group type: P4/mmm. The uncorrected formation energy is 2.481 eV per formula unit.

=====

A relaxed structure of Rb2AcSmS4. Source: Alexandria via LeMat-Bulk, functional PBE.

a = 4.3187 Å, b = 7.4858 Å, c = 8.1155 Å
α = 107.83°, β = 90.00°, γ = 90.00°
Fractional positions:
S 0.5000 0.2472 0.2012
S 0.0000 0.2797 0.8037
S 0.5000 0.7528 0.7988
S 0.0000 0.7203 0.1963
Rb 0.5000 0.0000 0.5000
Rb 0.0000 0.5000 0.5000
Ac 0.0000 0.0000 0.0000
Sm 0.5000 0.5000 0.0000

Properties
As for the space-group type: P2/m. The uncorrected formation energy is -14.764 eV per formula unit.